Record 1
Density functional theory data (GGA-PBEsol) for a geometry-optimized In3Tc structure.

abc: 3.105 4.919 5.100
angles: 90.00 90.00 90.00
Element x y z (fractional)
In (0.000, 0.000, 0.000)
In (0.000, 0.500, 0.336)
In (0.500, 0.000, 0.522)
Tc (0.500, 0.500, 0.826)

Summary:
DOS(E_F) (states/eV/atom): 0.508
Formation energy (meV/atom): 333
Space group: Pmm2, No. 25

---

Record 2
Density functional theory data (GGA-PBEsol) for a geometry-optimized InTc3 structure.

abc: 3.794 3.794 8.438
angles: 90.00 90.00 90.00
Element x y z (fractional)
In (0.000, 0.000, 0.000)
In (0.500, 0.500, 0.500)
Tc (0.000, 0.000, 0.500)
Tc (0.000, 0.500, 0.250)
Tc (0.000, 0.500, 0.750)
Tc (0.500, 0.000, 0.250)
Tc (0.500, 0.000, 0.750)
Tc (0.500, 0.500, 0.000)

Summary:
DOS(E_F) (states/eV/atom): 1.053
Formation energy (meV/atom): 331
Space group: I4/mmm, No. 139

---

Record 3
Density functional theory data (GGA-PBEsol) for a geometry-optimized In2Tc structure.

abc: 2.996 2.996 12.918
angles: 90.00 90.00 90.00
Element x y z (fractional)
In (0.000, 0.000, 0.145)
In (0.000, 0.000, 0.855)
In (0.500, 0.500, 0.355)
In (0.500, 0.500, 0.645)
Tc (0.000, 0.000, 0.500)
Tc (0.500, 0.500, 0.000)

Summary:
DOS(E_F) (states/eV/atom): 1.280
Formation energy (meV/atom): 404
Space group: I4/mmm, No. 139
Polymorph energy (0 for the lowest one) (meV per atom): 23

---

Record 4
Density functional theory data (GGA-PBEsol) for a geometry-optimized InTc3 structure.

abc: 3.162 4.338 8.841
angles: 90.00 90.00 90.00
Element x y z (fractional)
In (0.000, 0.000, 0.000)
In (0.500, 0.500, 0.500)
Tc (0.000, 0.000, 0.500)
Tc (0.000, 0.500, 0.244)
Tc (0.000, 0.500, 0.756)
Tc (0.500, 0.000, 0.256)
Tc (0.500, 0.000, 0.744)
Tc (0.500, 0.500, 0.000)

Summary:
DOS(E_F) (states/eV/atom): 0.840
Formation energy (meV/atom): 267
Space group: Immm, No. 71

---

Record 5
Density functional theory data (GGA-PBEsol) for a geometry-optimized InTcTe3 structure.

abc: 5.216 5.216 5.216
angles: 90.00 90.00 90.00
Element x y z (fractional)
In (0.000, 0.000, 0.000)
Tc (0.500, 0.500, 0.500)
Te (0.000, 0.500, 0.500)
Te (0.500, 0.000, 0.500)
Te (0.500, 0.500, 0.000)

Summary:
Formation energy without anion corrections (meV/atom): 364
DOS(E_F) (states/eV/atom): 1.074
Space group: Pm-3m, No. 221

---

Record 6
Density functional theory data (GGA-PBEsol) for a geometry-optimized TlIn2Tc structure.

abc: 3.662 3.662 5.920
angles: 90.00 90.00 90.00
Element x y z (fractional)
Tl (0.000, 0.000, 0.000)
In (0.500, 0.500, 0.269)
In (0.500, 0.500, 0.731)
Tc (0.000, 0.000, 0.500)

Summary:
DOS(E_F) (states/eV/atom): 0.326
Formation energy (meV/atom): 341
Space group: P4/mmm, No. 123

---

Record 7
Density functional theory data (GGA-PBEsol) for a geometry-optimized TlIn2Tc structure.

abc: 5.807 8.157 3.366
angles: 90.00 90.00 90.00
Element x y z (fractional)
Tl (0.000, 0.000, 0.000)
Tl (0.500, 0.500, 0.000)
In (0.250, 0.250, 0.500)
In (0.250, 0.750, 0.500)
In (0.750, 0.250, 0.500)
In (0.750, 0.750, 0.500)
Tc (0.000, 0.500, 0.000)
Tc (0.500, 0.000, 0.000)

Summary:
DOS(E_F) (states/eV/atom): 0.932
Formation energy (meV/atom): 485
Space group: Cmmm, No. 65

---

Record 8
Density functional theory data (GGA-PBEsol) for a geometry-optimized Tl2InTc structure.

abc: 2.951 4.626 13.871
angles: 90.00 90.00 90.00
Element x y z (fractional)
Tl (0.000, 0.000, 0.180)
Tl (0.000, 0.000, 0.820)
Tl (0.500, 0.500, 0.320)
Tl (0.500, 0.500, 0.680)
In (0.000, 0.500, 0.000)
In (0.500, 0.000, 0.500)
Tc (0.000, 0.500, 0.500)
Tc (0.500, 0.000, 0.000)

Summary:
DOS(E_F) (states/eV/atom): 0.810
Formation energy (meV/atom): 365
Space group: Immm, No. 71